Below is a relaxed structure of TmZnPt2, with properties calculated at the PBE-GGA level.

Unit cell a=3.903 b=4.220 c=4.220 alpha=90.00 beta=90.00 gamma=90.00
Element x y z (fractional)
Zn (0.500, 0.500, 0.500)
Tm (0.500, 0.000, 0.000)
Pt (0.000, 0.000, 0.500)
Pt (0.000, 0.500, 0.000)

Values from the calculation:
**SG**: P4/mmm (123)
**Fermi-level density of states**: 0.321 states/eV/atom
**Formation enthalpy at 0 K**: -895 meV per atom
**Final energy**: -5.352 eV/atom
**Mass density**: 14920 kg/m³